A plane-wave DFT calculation with PBE was carried out for crystalline Li2IrCl at its relaxed geometry.

mass density = 6.33 g/cm3
energy relative to the lowest polymorph listed for this composition = 1.73 eV/f.u.
magnetic moment = 0.6 μB/f.u.
raw formation energy = -152 meV/atom

abc: 2.627 4.912 4.912
angles: 90.00 90.00 90.00
Site moments in Bohr magnetons follow the coordinates.
Fractional positions:
Cl 0.500 0.500 0.000  0.05
Ir 0.500 0.000 0.500  0.56
Li 0.000 0.000 0.000  0.00
Li 0.000 0.500 0.500  0.00